(1)
Computed, not measured: a relaxed structure of LiIrSe2 at the GGA-PBE level of DFT.

a = 6.4244 Å, b = 6.4244 Å, c = 6.4244 Å
α = 34.52°, β = 34.52°, γ = 34.52°
Element x y z (fractional)
Li (0.0000, 0.0000, 0.0000)
Ir (0.5000, 0.5000, 0.5000)
Se (0.2360, 0.2360, 0.2360)
Se (0.7640, 0.7640, 0.7640)

Computed properties:
ΔE_f (raw) = -0.5552 eV per atom
volume = 19.00 A^3/atom

(2)
Computed, not measured: a relaxed structure of LiIr2Se at the GGA-PBE level of DFT.

a = 3.1041 Å, b = 3.1041 Å, c = 5.8211 Å
α = 90.00°, β = 90.00°, γ = 90.00°
Element x y z (fractional)
Li (0.0000, 0.0000, 0.0000)
Ir (0.5000, 0.5000, 0.2394)
Ir (0.5000, 0.5000, 0.7606)
Se (0.0000, 0.0000, 0.5000)

Computed properties:
N(E_F) = 0.332 states/eV/atom
ΔE_f (raw) = 0.1545 eV per atom
volume = 14.02 A^3/atom

(3)
Computed, not measured: a relaxed structure of LiIrSe2 at the GGA-PBE level of DFT.

a = 6.4076 Å, b = 6.4076 Å, c = 6.4076 Å
α = 149.17°, β = 147.82°, γ = 45.17°
Element x y z (fractional)
Li (0.0000, 0.0000, 0.0000)
Ir (0.7206, 0.2206, 0.5000)
Se (0.3082, 0.8082, 0.5000)
Se (0.5677, 0.5677, 0.0000)

Computed properties:
N(E_F) = 0.289 states/eV/atom
ΔE_f (raw) = -0.2300 eV per atom
volume = 17.90 A^3/atom

(4)
Computed, not measured: a relaxed structure of LiIr2Se at the GGA-PBE level of DFT.

a = 8.5408 Å, b = 8.5408 Å, c = 8.5408 Å
α = 19.51°, β = 19.51°, γ = 19.51°
Element x y z (fractional)
Li (0.0000, 0.0000, 0.0000)
Ir (0.2469, 0.2469, 0.2469)
Ir (0.7531, 0.7531, 0.7531)
Se (0.5000, 0.5000, 0.5000)

Computed properties:
N(E_F) = 1.392 states/eV/atom
ΔE_f (raw) = 0.3035 eV per atom
volume = 15.20 A^3/atom

(5)
Computed, not measured: a relaxed structure of LiIrSe2 at the GGA-PBE level of DFT.

a = 5.2385 Å, b = 5.2385 Å, c = 5.2385 Å
α = 137.22°, β = 137.22°, γ = 62.10°
Element x y z (fractional)
Li (0.0000, 0.0000, 0.0000)
Ir (0.7500, 0.2500, 0.5000)
Se (0.2500, 0.7500, 0.5000)
Se (0.5000, 0.5000, 0.0000)

Computed properties:
N(E_F) = 0.789 states/eV/atom
ΔE_f (raw) = 0.0657 eV per atom
volume = 16.38 A^3/atom

(6)
Computed, not measured: a relaxed structure of Li2IrSe at the GGA-PBE level of DFT.

a = 4.2868 Å, b = 4.2868 Å, c = 4.2868 Å
α = 60.00°, β = 60.00°, γ = 60.00°
Element x y z (fractional)
Li (0.0000, 0.0000, 0.0000)
Li (0.2500, 0.2500, 0.2500)
Ir (0.7500, 0.7500, 0.7500)
Se (0.5000, 0.5000, 0.5000)

Computed properties:
N(E_F) = 0.642 states/eV/atom
ΔE_f (raw) = -0.2759 eV per atom
volume = 13.93 A^3/atom

(7)
Computed, not measured: a relaxed structure of LiIr2Se at the GGA-PBE level of DFT.

a = 4.3995 Å, b = 4.3995 Å, c = 4.3995 Å
α = 60.00°, β = 60.00°, γ = 60.00°
Element x y z (fractional)
Li (0.0000, 0.0000, 0.0000)
Ir (0.5000, 0.5000, 0.5000)
Ir (0.7500, 0.7500, 0.7500)
Se (0.2500, 0.2500, 0.2500)

Computed properties:
N(E_F) = 1.396 states/eV/atom
ΔE_f (raw) = 0.2916 eV per atom
volume = 15.05 A^3/atom

(8)
Computed, not measured: a relaxed structure of Li2IrSe at the GGA-PBE level of DFT.

a = 2.8338 Å, b = 3.9582 Å, c = 5.1469 Å
α = 90.00°, β = 90.00°, γ = 90.00°
Element x y z (fractional)
Li (0.0000, 0.0000, 0.2396)
Li (0.0000, 0.0000, 0.7604)
Ir (0.5000, 0.5000, 0.0000)
Se (0.5000, 0.5000, 0.5000)

Computed properties:
N(E_F) = 0.535 states/eV/atom
ΔE_f (raw) = -0.3237 eV per atom
volume = 14.43 A^3/atom